1.
VASP calculation (PBE) on CsNb2As2 after structural relaxation.

Geometry as extended XYZ:
```
5
Lattice="-2.095 2.095 7.859 2.095 -2.095 7.859 2.095 2.095 -7.859" Properties=species:S:1:pos:R:3 pbc="T T T"
Cs 0.000 0.000 0.000
Nb 2.095 0.000 3.929
Nb 0.000 2.095 3.929
As 0.000 0.000 5.534
As 0.000 0.000 10.183
```

- offset from the most stable computed form (kJ/mol of atoms) = 0.0
- space-group type = No. 139

=====

2.
VASP calculation (PBE) on Zr3NbBi after structural relaxation.

Geometry as extended XYZ:
```
5
Lattice="5.140 0.000 0.000 0.000 5.140 0.000 0.000 0.000 5.140" Properties=species:S:1:pos:R:3 pbc="T T T"
Zr 0.000 0.000 2.570
Zr 0.000 2.570 0.000
Zr 2.570 0.000 0.000
Nb 0.000 0.000 0.000
Bi 2.570 2.570 2.570
```

- offset from the most stable computed form (kJ/mol of atoms) = 77.8
- space-group type = No. 221

=====

3.
VASP calculation (PBE) on Tl8Te2Se after structural relaxation.

Geometry as extended XYZ:
```
11
Lattice="10.435 -2.221 0.000 10.435 2.221 0.000 -1.248 0.000 8.157" Properties=species:S:1:pos:R:3 pbc="T T T"
Tl -0.151 0.000 2.010
Tl 3.499 0.000 6.969
Tl 6.742 0.000 3.693
Tl 8.249 0.000 0.040
Tl 11.372 0.000 8.117
Tl 12.879 0.000 4.464
Tl 16.122 0.000 1.188
Tl 19.772 0.000 6.146
Te 3.206 0.000 2.114
Te 16.415 0.000 6.043
Se 9.811 0.000 4.078
```

- space-group type = No. 12

=====

4.
VASP calculation (PBE) on AlBiW3 after structural relaxation.

Geometry as extended XYZ:
```
5
Lattice="4.656 0.000 0.000 0.000 4.656 0.000 0.000 0.000 4.656" Properties=species:S:1:pos:R:3 pbc="T T T"
Al 0.000 0.000 0.000
Bi 2.328 2.328 2.328
W 0.000 0.000 2.328
W 0.000 2.328 0.000
W 2.328 0.000 0.000
```

- offset from the most stable computed form (kJ/mol of atoms) = 0.0
- space-group type = No. 221

=====

5.
VASP calculation (PBE) on NiPt2Se after structural relaxation.

Geometry as extended XYZ:
```
4
Lattice="1.457 0.841 8.251 -1.457 0.841 8.251 0.000 -1.682 8.251" Properties=species:S:1:pos:R:3 pbc="T T T"
Ni 0.000 0.000 0.000
Pt 0.000 0.000 6.215
Pt 0.000 0.000 12.160
Se 0.000 0.000 18.157
```

- space-group type = No. 160

=====

6.
VASP calculation (PBE) on Zn2PW after structural relaxation.

Geometry as extended XYZ:
```
4
Lattice="-1.596 1.971 4.541 1.596 -1.971 4.541 1.596 1.971 -4.541" Properties=species:S:1:pos:R:3 pbc="T T T"
Zn 0.000 0.000 2.144
Zn 0.000 0.000 6.938
P 1.596 0.000 0.000
W 0.000 1.971 0.000
```

- space-group type = No. 71

=====

7.
VASP calculation (PBE) on AcPmIr2 after structural relaxation.

Geometry as extended XYZ:
```
4
Lattice="4.294 0.000 0.000 0.000 2.073 5.589 0.000 -2.073 5.589" Properties=species:S:1:pos:R:3 pbc="T T T"
Ac 0.000 0.000 0.000
Pm 2.147 0.000 3.202
Ir 0.000 0.000 8.090
Ir 2.147 0.000 6.402
```

- offset from the most stable computed form (kJ/mol of atoms) = 0.0
- space-group type = No. 38

=====

8.
VASP calculation (PBE) on CaPrPdRh after structural relaxation.

Geometry as extended XYZ:
```
4
Lattice="0.000 3.548 3.548 3.548 0.000 3.548 3.548 3.548 0.000" Properties=species:S:1:pos:R:3 pbc="T T T"
Ca 0.000 0.000 0.000
Pr 3.548 3.548 3.548
Pd 1.774 1.774 1.774
Rh 5.322 5.322 5.322
```

- space-group type = No. 216

=====

9.
VASP calculation (PBE) on Tb2Ni3Rh after structural relaxation.

Geometry as extended XYZ:
```
6
Lattice="2.537 1.465 4.344 -2.537 1.465 4.344 0.000 -2.929 4.344" Properties=species:S:1:pos:R:3 pbc="T T T"
Tb 0.000 0.000 1.599
Tb 0.000 0.000 11.434
Ni -1.268 -0.732 4.344
Ni -1.268 0.732 8.688
Ni 0.000 1.465 4.344
Rh 0.000 0.000 6.516
```

- space-group type = No. 166

=====

10.
VASP calculation (PBE) on ZrHRh2 after structural relaxation.

Geometry as extended XYZ:
```
4
Lattice="0.000 3.057 3.057 3.057 0.000 3.057 3.057 3.057 0.000" Properties=species:S:1:pos:R:3 pbc="T T T"
Zr 0.000 0.000 0.000
H 3.057 3.057 3.057
Rh 1.528 1.528 1.528
Rh 4.585 4.585 4.585
```

- offset from the most stable computed form (kJ/mol of atoms) = 33.9
- space-group type = No. 225

=====

11.
VASP calculation (PBE) on FeTe2Rh after structural relaxation.

Geometry as extended XYZ:
```
4
Lattice="-1.970 1.970 4.987 1.970 -1.970 4.987 1.970 1.970 -4.987" Properties=species:S:1:pos:R:3 pbc="T T T"
Fe 0.000 0.000 0.000
Te 0.000 0.000 4.987
Te 0.000 1.970 2.493
Rh 1.970 0.000 2.493
```

- space-group type = No. 119

=====

12.
VASP calculation (PBE) on Ba2MgZr after structural relaxation.

Geometry as extended XYZ:
```
4
Lattice="6.725 -1.866 0.000 6.725 1.866 0.000 -2.139 0.000 5.991" Properties=species:S:1:pos:R:3 pbc="T T T"
Ba 0.000 0.000 0.000
Ba 1.388 0.000 3.787
Mg 4.998 0.000 2.701
Zr 9.884 0.000 1.086
```

- space-group type = No. 8

=====

Total moment
In order: 0.0; 1.5; 0.0; 0.0; 0.0; 0.0; 0.0; 0.0; 0.0; 0.0; 2.8; 0.8
Unit: Bohr magnetons per cell
VASP energy
In order: -32.3; -36.2; -31.1; -37.2; -21.1; -20.1; -29.0; -21.7; -37.1; -26.7; -20.6; -12.5
Unit: eV for the cell shown